Density functional theory data (PBE-GGA) for an optimized crystal structure of Si3Hg.

Geometry as POSCAR:
```
Si3Hg
1.0
6.569 0.000 0.000
0.000 6.569 0.000
0.000 0.000 6.569
Si Hg
12 4
Cartesian
0.000 0.000 0.000 Si
0.000 3.284 3.284 Si
1.642 1.642 1.642 Si
1.642 1.642 4.926 Si
1.642 4.926 1.642 Si
1.642 4.926 4.926 Si
3.284 0.000 3.284 Si
3.284 3.284 0.000 Si
4.926 1.642 1.642 Si
4.926 1.642 4.926 Si
4.926 4.926 1.642 Si
4.926 4.926 4.926 Si
0.000 0.000 3.284 Hg
0.000 3.284 0.000 Hg
3.284 0.000 0.000 Hg
3.284 3.284 3.284 Hg
```

Summary:
Raw formation energy   737.0 meV/atom
Energy relative to the lowest polymorph listed for this composition   335 meV/atom
Space group   Fm-3m (225)